# NdPaFeO6

Crystalline NdPaFeO6 at its relaxed geometry (PBE+U, the Alexandria database).

Cell lengths 5.4016, 5.4016, 4.8351 Å; angles 90.00, 90.00, 120.00 degrees
Element x y z (fractional)
Nd 0.0000 0.0000 0.0000
Pa 0.6667 0.3333 0.5000
Fe 0.3333 0.6667 0.0000
O 0.0222 0.3890 0.2351
O 0.0222 0.6333 0.7649
O 0.3667 0.3890 0.7649
O 0.3667 0.9778 0.2351
O 0.6110 0.6333 0.2351
O 0.6110 0.9778 0.7649

total energy: -7.891 eV per atom
V: 13.6 Å³ per atom
space group: No. 149